Ac2Pm13: relaxed, PBE-GGA.

a b c (Å): 9.416 9.416 10.078
angles (deg): 62.15 62.15 60.00
Atoms (fractional coordinates):
Ac (0.255, 0.255, 0.236)
Ac (0.745, 0.745, 0.764)
Pm (0.500, 0.500, 0.500)
Pm (0.493, 0.847, 0.166)
Pm (0.493, 0.493, 0.166)
Pm (0.847, 0.493, 0.166)
Pm (0.153, 0.507, 0.834)
Pm (0.507, 0.153, 0.834)
Pm (0.507, 0.507, 0.834)
Pm (0.261, 0.884, 0.594)
Pm (0.261, 0.261, 0.594)
Pm (0.884, 0.261, 0.594)
Pm (0.116, 0.739, 0.406)
Pm (0.739, 0.116, 0.406)
Pm (0.739, 0.739, 0.406)

Output
Fermi-level density of states: 1.777 states/eV per atom
Energy of formation: 54 kJ/mol of atoms
Total energy: -61.62 eV/cell